(1)
CaPPbS2 | PBE | optimized geometry

It has space group P4/mmm (No. 123), with a = 5.240 Å, b = 5.240 Å, c = 5.091 Å, α = 90.00°, β = 90.00° and γ = 90.00°. The asymmetric unit holds Ca at (0.000, 0.000, 0.000), P at (0.500, 0.500, 0.000), Pb at (0.500, 0.500, 0.500) and S at (0.000, 0.500, 0.500).

For the uncorrected formation energy, the calculation gives 0.0273 eV/atom. The calculation puts the polymorph energy (0 for the lowest one) at 0.0 meV/atom. The density of states at the Fermi level is 1.070 states/eV/atom. As for the size of the total moment: 0.290 Bohr magnetons per cell.

---

(2)
CaPPbS2 | PBE | optimized geometry

It has space group P4/mmm (No. 123), with a = 5.355 Å, b = 5.355 Å, c = 5.325 Å, α = 90.00°, β = 90.00° and γ = 90.00°. The asymmetric unit holds Ca at (0.000, 0.000, 0.000), P at (0.000, 0.000, 0.500), Pb at (0.500, 0.500, 0.500) and S at (0.000, 0.500, 0.000).

For the uncorrected formation energy, the calculation gives 0.1564 eV/atom. The calculation puts the polymorph energy (0 for the lowest one) at 129.1 meV/atom. The density of states at the Fermi level is 1.032 states/eV/atom. As for the size of the total moment: 1.318 Bohr magnetons per cell.

---

(3)
Ca2PPbSe | PBE | optimized geometry

It has space group P4/mmm (No. 123), with a = 5.434 Å, b = 5.434 Å, c = 5.598 Å, α = 90.00°, β = 90.00° and γ = 90.00°. The asymmetric unit holds Ca at (0.000, 0.500, 0.000), P at (0.000, 0.000, 0.500), Pb at (0.500, 0.500, 0.500) and Se at (0.500, 0.500, 0.000).

For the uncorrected formation energy, the calculation gives -0.3265 eV/atom. The density of states at the Fermi level is 0.588 states/eV/atom. As for the size of the total moment: 0.000 Bohr magnetons per cell.

---

(4)
CaY2PPb | PBE | optimized geometry

It has space group P4/mmm (No. 123), with a = 5.295 Å, b = 5.295 Å, c = 5.313 Å, α = 90.00°, β = 90.00° and γ = 90.00°. The asymmetric unit holds Ca at (0.000, 0.000, 0.000), Y at (0.000, 0.500, 0.500), P at (0.000, 0.000, 0.500) and Pb at (0.500, 0.500, 0.000).

The density of states at the Fermi level is 0.523 states/eV/atom. For the formation energy, the calculation gives -0.77 eV per atom. As for the size of the total moment: 0.000 Bohr magnetons per cell.

---

(5)
Ca3P2Pd | PBE | optimized geometry

It has space group Pnma (No. 62), with a = 11.364 Å, b = 4.248 Å, c = 11.389 Å, α = 90.00°, β = 90.00° and γ = 90.00°. The asymmetric unit holds Ca at (0.055, 0.250, 0.122), Ca at (0.122, 0.750, 0.555), Ca at (0.209, 0.250, 0.810), P at (0.017, 0.750, 0.312), P at (0.189, 0.750, 0.992) and Pd at (0.129, 0.250, 0.366).

The density of states at the Fermi level is 0.057 states/eV/atom. For the formation energy, the calculation gives -1.05 eV per atom. As for the size of the total moment: 0.000 Bohr magnetons per cell.

---

(6)
CaP2Pd5 | PBE | optimized geometry

It has space group Immm (No. 71), with a = 4.047 Å, b = 7.021 Å, c = 9.448 Å, α = 90.00°, β = 90.00° and γ = 90.00°. The asymmetric unit holds Ca at (0.000, 0.000, 0.000), P at (0.000, 0.500, 0.247), Pd at (0.000, 0.199, 0.346) and Pd at (0.000, 0.500, 0.000).

The density of states at the Fermi level is 0.633 states/eV/atom. For the formation energy, the calculation gives -0.67 eV per atom. As for the size of the total moment: 0.000 Bohr magnetons per cell.

---

(7)
Ca2PPd | PBE | optimized geometry

It has space group P4/mmm (No. 123), with a = 4.784 Å, b = 4.784 Å, c = 3.749 Å, α = 90.00°, β = 90.00° and γ = 90.00°. The asymmetric unit holds Ca at (0.000, 0.500, 0.000), P at (0.000, 0.000, 0.500) and Pd at (0.500, 0.500, 0.500).

The density of states at the Fermi level is 0.552 states/eV/atom. For the formation energy, the calculation gives -0.76 eV per atom. As for the size of the total moment: 0.000 Bohr magnetons per cell.

---

(8)
CaPPd4 | PBE | optimized geometry

It has space group Pmma (No. 51), with a = 7.651 Å, b = 3.898 Å, c = 6.923 Å, α = 90.00°, β = 90.00° and γ = 90.00°. The asymmetric unit holds Ca at (0.250, 0.000, 0.121), P at (0.250, 0.000, 0.703), Pd at (0.000, 0.000, 0.500), Pd at (0.066, 0.500, 0.799) and Pd at (0.250, 0.500, 0.437).

The density of states at the Fermi level is 0.420 states/eV/atom. For the formation energy, the calculation gives -0.57 eV per atom. As for the size of the total moment: 0.000 Bohr magnetons per cell.

---

(9)
CaP3Pd10 | PBE | optimized geometry

It has space group Fm-3m (No. 225), with a = 12.188 Å, b = 12.188 Å, c = 12.188 Å, α = 90.00°, β = 90.00° and γ = 90.00°. The asymmetric unit holds Ca at (0.250, 0.250, 0.250), P at (0.000, 0.000, 0.240), Pd at (0.000, 0.172, 0.328) and Pd at (0.114, 0.114, 0.114).

The density of states at the Fermi level is 0.191 states/eV/atom. For the formation energy, the calculation gives -0.59 eV per atom. As for the size of the total moment: 0.000 Bohr magnetons per cell.

---

(10)
Ca3P3Pd2 | PBE | optimized geometry

It has space group Cmcm (No. 63), with a = 4.160 Å, b = 10.592 Å, c = 14.849 Å, α = 90.00°, β = 90.00° and γ = 90.00°. The asymmetric unit holds Ca at (0.000, 0.069, 0.250), Ca at (0.000, 0.356, 0.097), P at (0.000, 0.075, 0.052), P at (0.000, 0.217, 0.750) and Pd at (0.000, 0.356, 0.616).

The density of states at the Fermi level is 0.248 states/eV/atom. For the formation energy, the calculation gives -1.03 eV per atom. As for the size of the total moment: 0.000 Bohr magnetons per cell.

---

(11)
Ca2P4Pd5 | PBE | optimized geometry

It has space group Fmmm (No. 69), with a = 5.673 Å, b = 10.159 Å, c = 14.043 Å, α = 90.00°, β = 90.00° and γ = 90.00°. The asymmetric unit holds Ca at (0.000, 0.000, 0.141), P at (0.000, 0.156, 0.373), Pd at (0.000, 0.000, 0.500), Pd at (0.250, 0.250, 0.000) and Pd at (0.250, 0.250, 0.250).

The density of states at the Fermi level is 0.513 states/eV/atom. For the formation energy, the calculation gives -0.64 eV per atom. As for the size of the total moment: 0.000 Bohr magnetons per cell.

---

(12)
Ca2PPd | PBE | optimized geometry

It has space group P2_1/m (No. 11), with a = 5.624 Å, b = 4.341 Å, c = 7.998 Å, α = 90.00°, β = 108.30° and γ = 90.00°. The asymmetric unit holds Ca at (0.211, 0.250, 0.422), Ca at (0.288, 0.750, 0.067), P at (0.343, 0.750, 0.709) and Pd at (0.167, 0.250, 0.777).

The density of states at the Fermi level is 0.751 states/eV/atom. For the formation energy, the calculation gives -0.88 eV per atom. As for the size of the total moment: 0.000 Bohr magnetons per cell.

---

(13)
Ca2P2Pd | PBE | optimized geometry

It has space group C2/m (No. 12), with a = 10.378 Å, b = 4.273 Å, c = 10.416 Å, α = 90.00°, β = 116.23° and γ = 90.00°. The asymmetric unit holds Ca at (0.098, 0.000, 0.402), Ca at (0.209, 0.500, 0.143), P at (0.029, 0.000, 0.907), P at (0.112, 0.500, 0.604) and Pd at (0.060, 0.500, 0.814).

The calculation puts the polymorph energy (0 for the lowest one) at 0.0 meV/atom. The density of states at the Fermi level is 0.202 states/eV/atom. For the formation energy, the calculation gives -1.00 eV per atom. As for the size of the total moment: 0.000 Bohr magnetons per cell.

---

(14)
Ca2PPd2 | PBE | optimized geometry

It has space group P4/mbm (No. 127), with a = 6.855 Å, b = 6.855 Å, c = 4.348 Å, α = 90.00°, β = 90.00° and γ = 90.00°. The asymmetric unit holds Ca at (0.174, 0.326, 0.000), P at (0.000, 0.000, 0.500) and Pd at (0.145, 0.645, 0.500).

The calculation puts the polymorph energy (0 for the lowest one) at 181.2 meV/atom. The density of states at the Fermi level is 0.539 states/eV/atom. For the formation energy, the calculation gives -0.65 eV per atom. As for the size of the total moment: 0.000 Bohr magnetons per cell.

---

(15)
Ca2PPd6 | PBE | optimized geometry

It has space group P-3m1 (No. 164), with a = 5.8202 Å, b = 5.8202 Å, c = 5.4530 Å, α = 90.00°, β = 90.00° and γ = 120.00°. The asymmetric unit holds Ca at (0.3333, 0.6667, 0.1954), P at (0.0000, 0.0000, 0.0000) and Pd at (0.1703, 0.3406, 0.7114).

The calculation puts the polymorph energy (0 for the lowest one) at 20.7 meV/atom. The density of states at the Fermi level is 0.455 states/eV/atom. For the formation energy, the calculation gives -0.66 eV per atom. As for the size of the total moment: 0.000 Bohr magnetons per cell.

---

(16)
CaP2Pd3 | PBE | optimized geometry

It has space group C2/m (No. 12), with a = 16.431 Å, b = 3.937 Å, c = 9.909 Å, α = 90.00°, β = 108.78° and γ = 90.00°. The asymmetric unit holds Ca at (0.000, 0.000, 0.000), Ca at (0.150, 0.000, 0.693), P at (0.040, 0.500, 0.777), P at (0.133, 0.500, 0.448), P at (0.202, 0.000, 0.135), Pd at (0.000, 0.500, 0.500), Pd at (0.046, 0.000, 0.323), Pd at (0.131, 0.500, 0.201), Pd at (0.180, 0.500, 0.959) and Pd at (0.229, 0.000, 0.391).

The density of states at the Fermi level is 0.525 states/eV/atom. For the formation energy, the calculation gives -0.78 eV per atom. As for the size of the total moment: 0.000 Bohr magnetons per cell.

---

(17)
Ca2PPd2 | PBE | optimized geometry

It has space group C2/c (No. 15), with a = 9.745 Å, b = 5.678 Å, c = 7.543 Å, α = 90.00°, β = 104.46° and γ = 90.00°. The asymmetric unit holds Ca at (0.151, 0.119, 0.152), P at (0.000, 0.324, 0.750) and Pd at (0.123, 0.388, 0.485).

The calculation puts the polymorph energy (0 for the lowest one) at 3.2 meV/atom. The density of states at the Fermi level is 0.353 states/eV/atom. For the formation energy, the calculation gives -0.82 eV per atom. As for the size of the total moment: 0.000 Bohr magnetons per cell.

---

(18)
Ca3P4Pd2 | PBE | optimized geometry

It has space group C2/m (No. 12), with a = 10.776 Å, b = 4.144 Å, c = 8.019 Å, α = 90.00°, β = 99.33° and γ = 90.00°. The asymmetric unit holds Ca at (0.000, 0.000, 0.000), Ca at (0.165, 0.500, 0.668), P at (0.054, 0.000, 0.392), P at (0.224, 0.500, 0.055) and Pd at (0.110, 0.500, 0.279).

The density of states at the Fermi level is 0.345 states/eV/atom. For the formation energy, the calculation gives -0.97 eV per atom. As for the size of the total moment: 0.000 Bohr magnetons per cell.

---

(19)
CaP3Pd3 | PBE | optimized geometry

It has space group Pm-3n (No. 223), with a = 6.588 Å, b = 6.588 Å, c = 6.588 Å, α = 90.00°, β = 90.00° and γ = 90.00°. The asymmetric unit holds Ca at (0.000, 0.000, 0.000), P at (0.000, 0.250, 0.500) and Pd at (0.000, 0.500, 0.250).

The density of states at the Fermi level is 0.443 states/eV/atom. For the formation energy, the calculation gives -0.43 eV per atom. As for the size of the total moment: 0.000 Bohr magnetons per cell.

---

(20)
Ca2PPd2 | PBE | optimized geometry

It has space group Immm (No. 71), with a = 4.283 Å, b = 5.502 Å, c = 8.666 Å, α = 90.00°, β = 90.00° and γ = 90.00°. The asymmetric unit holds Ca at (0.000, 0.000, 0.193), P at (0.000, 0.500, 0.000) and Pd at (0.000, 0.248, 0.500).

The calculation puts the polymorph energy (0 for the lowest one) at 0.0 meV/atom. The density of states at the Fermi level is 0.223 states/eV/atom. For the formation energy, the calculation gives -0.83 eV per atom. As for the size of the total moment: 0.000 Bohr magnetons per cell.

---

(21)
CaP2Pd2 | PBE | optimized geometry

It has space group I4/mmm (No. 139), with a = 4.524 Å, b = 4.524 Å, c = 9.064 Å, α = 90.00°, β = 90.00° and γ = 90.00°. The asymmetric unit holds Ca at (0.000, 0.000, 0.000), P at (0.000, 0.500, 0.250) and Pd at (0.000, 0.000, 0.347).

The density of states at the Fermi level is 0.302 states/eV/atom. For the formation energy, the calculation gives -0.64 eV per atom. As for the size of the total moment: 0.000 Bohr magnetons per cell.